No. 1
Density functional theory data (PBE) for a geometry-optimized Ba2BrCl structure.

```
data_Ba2BrCl
_chemical_formula_sum 'Ba2 Br1 Cl1'
_space_group_name_H-M_alt 'P 1'
_space_group_IT_number 1
_space_group_name_Hall 'P 1'
_cell_length_a 6.7643
_cell_length_b 6.7643
_cell_length_c 6.7643
_cell_angle_alpha 143.65
_cell_angle_beta 106.68
_cell_angle_gamma 84.69
loop_
_atom_site_label
_atom_site_type_symbol
_atom_site_fract_x
_atom_site_fract_y
_atom_site_fract_z
Br1 Br 0.7500 0.2500 0.5000
Ba1 Ba 0.4910 0.4910 0.0000
Ba2 Ba 0.0090 0.0090 0.0000
Cl1 Cl 0.2500 0.7500 0.5000
```

Computed properties:
Mass density in kg/m³: 3801
ΔE_f (raw) in eV per atom: -1.56
Relative energy among the computed polymorphs in meV per atom: 108
DOS at the Fermi energy in states/eV/f.u.: 2.562
Space-group type: No. 71
Magnetic moment in μB/f.u.: 0.83


No. 2
Density functional theory data (PBE) for a geometry-optimized Ba2BrCl structure.

```
data_Ba2BrCl
_chemical_formula_sum 'Ba2 Br1 Cl1'
_space_group_name_H-M_alt 'P 1'
_space_group_IT_number 1
_space_group_name_Hall 'P 1'
_cell_length_a 4.5745
_cell_length_b 4.5745
_cell_length_c 8.5182
_cell_angle_alpha 74.42
_cell_angle_beta 74.42
_cell_angle_gamma 60.00
loop_
_atom_site_label
_atom_site_type_symbol
_atom_site_fract_x
_atom_site_fract_y
_atom_site_fract_z
Cl1 Cl 0.6676 0.6676 0.9973
Ba1 Ba 0.0718 0.0718 0.7845
Ba2 Ba 0.2607 0.2607 0.2178
Br1 Br 0.4999 0.4999 0.5004
```

Computed properties:
Mass density in kg/m³: 4413
ΔE_f (raw) in eV per atom: -1.64
Relative energy among the computed polymorphs in meV per atom: 28
DOS at the Fermi energy in states/eV/f.u.: 0.898
Space-group type: No. 160
Magnetic moment in μB/f.u.: 0.00